(1)
A plane-wave DFT calculation with PBE-GGA was carried out for an optimized crystal structure of Hg2H2Br.

Structure (CIF):
```
data_Hg2H2Br
_cell_length_a 3.684
_cell_length_b 4.240
_cell_length_c 6.912
_cell_angle_alpha 73.08
_cell_angle_beta 89.69
_cell_angle_gamma 89.24
_symmetry_space_group_name_H-M 'P -1'
_symmetry_Int_Tables_number 2
_symmetry_space_group_name_Hall '-P 1'
loop_
_atom_site_label
_atom_site_type_symbol
_atom_site_fract_x
_atom_site_fract_y
_atom_site_fract_z
Hg1 Hg 0.001 0.344 0.322
H1 H 0.499 0.669 0.658
Br1 Br 0.000 0.000 0.000
```

Values from the calculation:
Calculated total energy ... -8.7 eV for the cell shown



(2)
A plane-wave DFT calculation with PBE-GGA was carried out for an optimized crystal structure of Nd6Dy8Al.

Structure (CIF):
```
data_Nd6Dy8Al
_cell_length_a 9.4995
_cell_length_b 9.4995
_cell_length_c 6.2896
_cell_angle_alpha 90.00
_cell_angle_beta 90.00
_cell_angle_gamma 120.00
_symmetry_space_group_name_H-M 'P -3'
_symmetry_Int_Tables_number 147
_symmetry_space_group_name_Hall '-P 3'
loop_
_atom_site_label
_atom_site_type_symbol
_atom_site_fract_x
_atom_site_fract_y
_atom_site_fract_z
Nd1 Nd 0.0907 0.6372 0.1920
Dy1 Dy 0.0408 0.7839 0.6995
Dy2 Dy 0.3333 0.6667 0.6856
Al1 Al 0.0000 0.0000 0.0000
```

Values from the calculation:
Calculated total energy ... -68.0 eV for the cell shown



(3)
A plane-wave DFT calculation with PBE-GGA was carried out for an optimized crystal structure of Nd2HfMg.

Structure (CIF):
```
data_Nd2HfMg
_cell_length_a 3.455
_cell_length_b 3.455
_cell_length_c 9.612
_cell_angle_alpha 90.00
_cell_angle_beta 90.00
_cell_angle_gamma 90.00
_symmetry_space_group_name_H-M 'P 4/m m m'
_symmetry_Int_Tables_number 123
_symmetry_space_group_name_Hall '-P 4 2'
loop_
_atom_site_label
_atom_site_type_symbol
_atom_site_fract_x
_atom_site_fract_y
_atom_site_fract_z
Nd1 Nd 0.000 0.000 0.243
Hf1 Hf 0.500 0.500 0.000
Mg1 Mg 0.500 0.500 0.500
```

Values from the calculation:
Calculated total energy ... -20.8 eV for the cell shown



(4)
A plane-wave DFT calculation with PBE-GGA was carried out for an optimized crystal structure of Hg4AsCl2F.

Structure (CIF):
```
data_Hg4AsCl2F
_cell_length_a 12.489
_cell_length_b 10.657
_cell_length_c 8.799
_cell_angle_alpha 90.00
_cell_angle_beta 134.56
_cell_angle_gamma 90.00
_symmetry_space_group_name_H-M 'C 1 2/c 1'
_symmetry_Int_Tables_number 15
_symmetry_space_group_name_Hall '-C 2yc'
loop_
_atom_site_label
_atom_site_type_symbol
_atom_site_fract_x
_atom_site_fract_y
_atom_site_fract_z
Hg1 Hg 0.001 0.247 0.002
Hg2 Hg 0.193 0.475 0.942
As1 As 0.000 0.500 0.000
Cl1 Cl 0.000 0.000 0.000
Cl2 Cl 0.250 0.250 0.500
F1 F 0.250 0.250 0.000
```

Values from the calculation:
E_form (uncorrected) ... -0.38 eV/atom



(5)
A plane-wave DFT calculation with PBE-GGA was carried out for an optimized crystal structure of ZrZn2Se.

Structure (CIF):
```
data_ZrZn2Se
_cell_length_a 3.533
_cell_length_b 5.131
_cell_length_c 8.553
_cell_angle_alpha 90.00
_cell_angle_beta 90.00
_cell_angle_gamma 90.00
_symmetry_space_group_name_H-M 'C m m m'
_symmetry_Int_Tables_number 65
_symmetry_space_group_name_Hall '-C 2 2'
loop_
_atom_site_label
_atom_site_type_symbol
_atom_site_fract_x
_atom_site_fract_y
_atom_site_fract_z
Zr1 Zr 0.000 0.000 0.000
Zn1 Zn 0.000 0.500 0.262
Se1 Se 0.000 0.000 0.500
```

Values from the calculation:
E_form (uncorrected) ... 0.01 eV/atom



(6)
A plane-wave DFT calculation with PBE-GGA was carried out for an optimized crystal structure of BaCu2N.

Structure (CIF):
```
data_BaCu2N
_cell_length_a 6.084
_cell_length_b 6.084
_cell_length_c 8.516
_cell_angle_alpha 90.00
_cell_angle_beta 90.00
_cell_angle_gamma 90.00
_symmetry_space_group_name_H-M 'I 41/a m d'
_symmetry_Int_Tables_number 141
loop_
_symmetry_equiv_pos_as_xyz
'x,y,z'
'-x,-y,-z'
'-y+1/4,x+3/4,z+1/4'
'y+1/4,-x+3/4,-z+1/4'
'-x+1/2,-y,z+1/2'
'x+1/2,y,-z+1/2'
'y+1/4,-x+1/4,z+3/4'
'-y+1/4,x+1/4,-z+3/4'
'x,-y,-z'
'-x,y,z'
'-y+1/4,-x+1/4,-z+3/4'
'y+1/4,x+1/4,z+3/4'
'-x+1/2,y,-z+1/2'
'x+1/2,-y,z+1/2'
'y+1/4,x+3/4,-z+1/4'
'-y+1/4,-x+3/4,z+1/4'
'x+1/2,y+1/2,z+1/2'
'-x+1/2,-y+1/2,-z+1/2'
'-y+3/4,x+1/4,z+3/4'
'y+3/4,-x+1/4,-z+3/4'
'-x,-y+1/2,z'
'x,y+1/2,-z'
'y+3/4,-x+3/4,z+1/4'
'-y+3/4,x+3/4,-z+1/4'
'x+1/2,-y+1/2,-z+1/2'
'-x+1/2,y+1/2,z+1/2'
'-y+3/4,-x+3/4,-z+1/4'
'y+3/4,x+3/4,z+1/4'
'-x,y+1/2,-z'
'x,-y+1/2,z'
'y+3/4,x+1/4,-z+3/4'
'-y+3/4,-x+1/4,z+3/4'
loop_
_atom_site_label
_atom_site_type_symbol
_atom_site_fract_x
_atom_site_fract_y
_atom_site_fract_z
Ba1 Ba 0.000 0.250 0.375
Cu1 Cu 0.000 0.000 0.000
N1 N 0.000 0.250 0.875
```

Values from the calculation:
E_form (uncorrected) ... 0.05 eV/atom



(7)
A plane-wave DFT calculation with PBE-GGA was carried out for an optimized crystal structure of La3IrPb.

Structure (CIF):
```
data_La3IrPb
_cell_length_a 4.067
_cell_length_b 8.895
_cell_length_c 9.688
_cell_angle_alpha 110.87
_cell_angle_beta 102.05
_cell_angle_gamma 90.04
_symmetry_space_group_name_H-M 'P 1'
_symmetry_Int_Tables_number 1
_symmetry_space_group_name_Hall 'P 1'
loop_
_atom_site_label
_atom_site_type_symbol
_atom_site_fract_x
_atom_site_fract_y
_atom_site_fract_z
La1 La 0.000 0.000 0.000
La2 La 0.077 0.432 0.153
La3 La 0.448 0.579 0.895
La4 La 0.668 0.868 0.337
La5 La 0.765 0.530 0.529
La6 La 0.854 0.179 0.707
Ir1 Ir 0.053 0.738 0.106
Ir2 Ir 0.471 0.238 0.942
Pb1 Pb 0.204 0.209 0.405
Pb2 Pb 0.333 0.849 0.665
```

Values from the calculation:
Calculated total energy ... -60.6 eV for the cell shown



(8)
A plane-wave DFT calculation with PBE-GGA was carried out for an optimized crystal structure of LaBiHI2.

Structure (CIF):
```
data_LaBiHI2
_cell_length_a 6.437
_cell_length_b 6.437
_cell_length_c 4.032
_cell_angle_alpha 90.00
_cell_angle_beta 90.00
_cell_angle_gamma 90.00
_symmetry_space_group_name_H-M 'P 4/m m m'
_symmetry_Int_Tables_number 123
_symmetry_space_group_name_Hall '-P 4 2'
loop_
_atom_site_label
_atom_site_type_symbol
_atom_site_fract_x
_atom_site_fract_y
_atom_site_fract_z
La1 La 0.000 0.000 0.000
Bi1 Bi 0.500 0.500 0.500
H1 H 0.500 0.500 0.000
I1 I 0.000 0.500 0.500
```

Values from the calculation:
Calculated total energy ... -15.7 eV for the cell shown



(9)
A plane-wave DFT calculation with PBE-GGA was carried out for an optimized crystal structure of Y2ErZnC.

Structure (CIF):
```
data_Y2ErZnC
_cell_length_a 4.905
_cell_length_b 4.905
_cell_length_c 4.812
_cell_angle_alpha 90.00
_cell_angle_beta 90.00
_cell_angle_gamma 90.00
_symmetry_space_group_name_H-M 'P 4/m m m'
_symmetry_Int_Tables_number 123
_symmetry_space_group_name_Hall '-P 4 2'
loop_
_atom_site_label
_atom_site_type_symbol
_atom_site_fract_x
_atom_site_fract_y
_atom_site_fract_z
Y1 Y 0.000 0.500 0.000
Er1 Er 0.000 0.000 0.500
Zn1 Zn 0.500 0.500 0.500
C1 C 0.000 0.000 0.000
```

Values from the calculation:
Calculated total energy ... -29.3 eV for the cell shown



(10)
A plane-wave DFT calculation with PBE-GGA was carried out for an optimized crystal structure of Ce2CdGa2.

Structure (CIF):
```
data_Ce2CdGa2
_cell_length_a 4.161
_cell_length_b 13.575
_cell_length_c 4.326
_cell_angle_alpha 90.00
_cell_angle_beta 90.00
_cell_angle_gamma 90.00
_symmetry_space_group_name_H-M 'C m m m'
_symmetry_Int_Tables_number 65
_symmetry_space_group_name_Hall '-C 2 2'
loop_
_atom_site_label
_atom_site_type_symbol
_atom_site_fract_x
_atom_site_fract_y
_atom_site_fract_z
Ce1 Ce 0.000 0.129 0.000
Cd1 Cd 0.000 0.500 0.500
Ga1 Ga 0.000 0.302 0.500
```

Values from the calculation:
Calculated total energy ... -41.7 eV for the cell shown



(11)
A plane-wave DFT calculation with PBE-GGA was carried out for an optimized crystal structure of TlPtBr2.

Structure (CIF):
```
data_TlPtBr2
_cell_length_a 7.243
_cell_length_b 7.243
_cell_length_c 7.243
_cell_angle_alpha 90.00
_cell_angle_beta 90.00
_cell_angle_gamma 90.00
_symmetry_space_group_name_H-M 'F -4 3 m'
_symmetry_Int_Tables_number 216
_symmetry_space_group_name_Hall 'F -4 2 3'
loop_
_atom_site_label
_atom_site_type_symbol
_atom_site_fract_x
_atom_site_fract_y
_atom_site_fract_z
Tl1 Tl 0.000 0.000 0.000
Pt1 Pt 0.250 0.250 0.750
Br1 Br 0.000 0.000 0.500
Br2 Br 0.250 0.250 0.250
```

Values from the calculation:
E_form (uncorrected) ... 0.42 eV/atom



(12)
A plane-wave DFT calculation with PBE-GGA was carried out for an optimized crystal structure of BaSiO3.

Structure (CIF):
```
data_BaSiO3
_cell_length_a 7.596
_cell_length_b 13.174
_cell_length_c 21.252
_cell_angle_alpha 90.00
_cell_angle_beta 90.47
_cell_angle_gamma 90.00
_symmetry_space_group_name_H-M 'C 1 2/c 1'
_symmetry_Int_Tables_number 15
_symmetry_space_group_name_Hall '-C 2yc'
loop_
_atom_site_label
_atom_site_type_symbol
_atom_site_fract_x
_atom_site_fract_y
_atom_site_fract_z
Ba1 Ba 0.000 0.000 0.000
Ba2 Ba 0.000 0.008 0.250
Ba3 Ba 0.000 0.331 0.250
Ba4 Ba 0.000 0.344 0.750
Ba5 Ba 0.014 0.338 0.500
Si1 Si 0.073 0.168 0.627
Si2 Si 0.214 0.213 0.123
Si3 Si 0.215 0.451 0.125
O1 O 0.065 0.067 0.874
O2 O 0.065 0.270 0.875
O3 O 0.130 0.332 0.124
O4 O 0.163 0.161 0.190
O5 O 0.163 0.162 0.057
O6 O 0.163 0.499 0.691
O7 O 0.164 0.497 0.559
O8 O 0.175 0.167 0.560
O9 O 0.175 0.169 0.693
```

Values from the calculation:
E_form (uncorrected) ... -2.98 eV/atom